A plane-wave DFT calculation with GGA-PBE was carried out for a relaxed BaInTeI2 crystal.

abc: 6.017 6.017 5.871
angles: 90.00 90.00 90.00
Space group P4/mmm (No. 123)
One atom of each set of equivalent atoms:
Ba 0.000 0.000 0.000
In 0.500 0.500 0.500
Te 0.500 0.500 0.000
I 0.000 0.500 0.500

Output
Raw total energy in eV per atom: -3.02
Uncorrected formation energy in eV/atom: -0.84
Polymorph energy (0 for the lowest one) in meV per atom: 0
Calculated density in g/cm³: 4.9
Crystal system: tetragonal